No. 1
A plane-wave DFT calculation with GGA-PBE was carried out for a relaxed structure of MgUI6.

The structure in POSCAR format:
```
MgUI6
1.0
-3.0115 -1.9610 -6.6144
2.4970 -6.1064 -3.6191
-4.8145 -6.5220 -0.1572
I U Mg
6 1 1
direct
0.1016 0.4038 0.7461 I
0.2509 0.8993 0.2541 I
0.5961 0.2508 0.2547 I
0.8984 0.5962 0.2539 I
0.7491 0.1007 0.7459 I
0.4039 0.7492 0.7453 I
0.0000 0.0000 0.0000 U
0.5000 0.5000 0.5000 Mg
```

Summary:
* energy above the most stable polymorph in this dataset: 59 meV/atom
* DFT total energy: -0.265 Ry per atom

=====

No. 2
A plane-wave DFT calculation with GGA-PBE was carried out for a relaxed structure of Sr2LiP.

The structure in POSCAR format:
```
Sr2LiP
1.0
6.4112 0.0021 0.0000
3.2149 5.5469 0.0000
-4.8131 -2.7745 3.2001
Sr P Li
2 1 1
direct
0.0000 0.0000 0.0000 Sr
0.2500 0.7500 0.5000 Sr
0.7500 0.2500 0.5000 P
0.5000 0.5000 0.0000 Li
```

Summary:
* DFT total energy: -0.215 Ry per atom
* energy relative to the elements: -1.04 eV/f.u.

=====

No. 3
A plane-wave DFT calculation with GGA-PBE was carried out for a relaxed structure of MgHO.

The structure in POSCAR format:
```
MgHO
1.0
2.9054 0.0000 0.0000
0.0000 5.8025 0.2251
0.0000 0.1833 7.9574
Mg H O
4 4 4
direct
0.2499 0.6136 0.6342 Mg
0.7499 0.8864 0.3658 Mg
0.7501 0.3864 0.3658 Mg
0.2501 0.1136 0.6342 Mg
0.4416 0.0344 0.0326 H
0.9416 0.4656 0.9674 H
0.5584 0.9656 0.9674 H
0.0584 0.5344 0.0326 H
0.7501 0.8630 0.6405 O
0.2499 0.1370 0.3595 O
0.2501 0.6370 0.3595 O
0.7499 0.3630 0.6405 O
```

Summary:
* energy above the most stable polymorph in this dataset: 0 meV/atom
* DFT total energy: -0.366 Ry per atom

=====

No. 4
A plane-wave DFT calculation with GGA-PBE was carried out for a relaxed structure of PrZn2GeRh.

The structure in POSCAR format:
```
PrZn2GeRh
1.0
-1.1439 0.2205 3.8947
-3.8968 -1.2220 -1.0754
3.9684 -4.7533 -0.6868
Pr Ge Rh Zn
1 1 1 2
direct
0.4381 0.4381 0.8763 Pr
0.8267 0.8267 0.6534 Ge
0.1959 0.6959 0.3918 Rh
0.6924 0.1924 0.3847 Zn
0.0590 0.0590 0.1181 Zn
```

Summary:
* DFT total energy: -0.322 Ry per atom
* energy relative to the elements: -2.59 eV/f.u.

=====

| no. | total moment (μB/atom) |
| --- | --- |
| 1 | 0.25 |
| 2 | 0.16 |
| 3 | 0.00 |
| 4 | 0.00 |